[1]
Here is an optimized crystal structure of ErSnRh from Alexandria via LeMat-Bulk. Energies are from PBE.

Crystal system: tetragonal
Formation energy from the elements: -672 meV/atom

```
ErSnRh
1.0
3.323 0.000 0.000
0.000 3.323 0.000
-1.661 -1.661 5.640
Er Rh Sn
1 1 1
Cartesian
1.661 1.661 1.138
1.661 1.661 5.003
0.000 0.000 3.447
```


[2]
Here is an optimized crystal structure of ErSn2Rh3 from Alexandria via LeMat-Bulk. Energies are from PBE.

Crystal system: trigonal
Formation energy from the elements: -701 meV/atom

```
ErSn2Rh3
1.0
-0.676 -3.399 3.107
4.244 0.728 -1.766
1.148 3.679 4.275
Rh Sn Er
3 2 1
Cartesian
1.856 0.833 4.802
2.861 0.175 0.813
0.574 1.839 2.137
1.317 -0.893 2.796
3.399 1.901 2.819
0.000 0.000 0.000
```


[3]
Here is an optimized crystal structure of Er12SnRh6 from Alexandria via LeMat-Bulk. Energies are from PBE.

Crystal system: cubic
Formation energy from the elements: -664 meV/atom

```
Er12SnRh6
1.0
-7.052 -2.505 3.988
4.136 -6.786 -2.960
4.979 4.198 5.431
Er Rh Sn
12 6 1
Cartesian
2.369 1.910 5.268
5.991 -1.490 3.526
-2.008 -0.584 6.795
4.071 -4.508 -0.336
-0.306 -7.002 1.192
3.239 -3.829 3.444
0.864 -3.274 0.779
1.199 -1.818 5.680
-1.176 -1.264 3.015
2.333 -0.452 2.535
-0.271 -4.640 3.925
-3.928 -3.602 2.933
-2.114 -2.588 5.090
3.791 -0.668 4.717
0.152 0.509 5.031
1.911 -5.602 1.428
-1.728 -4.425 1.742
4.177 -2.505 1.370
0.000 0.000 0.000
```


[4]
Here is an optimized crystal structure of Er7SnRh4 from Alexandria via LeMat-Bulk. Energies are from PBE.

Crystal system: monoclinic
Formation energy from the elements: -512 meV/atom

```
Er7SnRh4
1.0
-0.857 5.430 -0.645
-6.651 1.197 -4.834
-5.166 2.530 4.420
Er Sn Rh
7 1 4
Cartesian
-9.335 6.709 -2.359
-4.399 4.822 -1.059
-0.428 2.715 -0.322
-3.339 2.448 1.301
-8.274 4.336 0.000
-5.407 1.723 -2.059
-7.267 7.434 1.000
0.000 0.000 0.000
-5.299 4.970 1.386
-7.375 4.188 -2.444
-9.794 6.978 0.518
-2.880 2.179 -1.577
```


[5]
Here is an optimized crystal structure of ErSnRh3 from Alexandria via LeMat-Bulk. Energies are from PBE.

Crystal system: orthorhombic
Formation energy from the elements: -524 meV/atom

```
ErSnRh3
1.0
-4.589 -3.700 2.666
4.235 -1.290 4.718
-0.015 6.380 -1.076
Er Rh Sn
2 6 2
Cartesian
-1.418 0.197 5.279
1.049 1.192 1.029
2.935 0.342 3.065
-1.172 3.664 0.149
-1.003 -0.292 2.448
0.803 -2.275 6.159
1.284 4.748 0.577
0.634 1.682 3.860
-0.177 -2.495 3.692
-2.302 1.340 0.795
```


[6]
Here is an optimized crystal structure of ErSnRh2 from Alexandria via LeMat-Bulk. Energies are from PBE.

Crystal system: tetragonal
Formation energy from the elements: -712 meV/atom

```
ErSnRh2
1.0
-2.307 0.958 2.326
-1.159 -3.205 0.170
4.122 -1.246 4.601
Rh Sn Er
2 1 1
Cartesian
1.096 -0.331 1.224
3.026 -0.915 3.378
0.328 -1.747 3.549
-1.733 -1.124 1.248
```


[7]
Here is an optimized crystal structure of Er3Sn2Rh from Alexandria via LeMat-Bulk. Energies are from PBE.

Crystal system: orthorhombic
Formation energy from the elements: -790 meV/atom

```
Er3Sn2Rh
1.0
-1.821 0.659 3.895
8.300 -6.242 4.938
6.756 10.128 1.445
Rh Sn Er
4 8 12
Cartesian
6.836 4.209 3.698
6.399 0.336 6.579
1.490 0.625 1.805
11.745 3.921 8.472
1.671 3.338 1.431
6.289 -4.826 4.972
11.565 1.208 8.846
6.947 9.371 5.305
8.701 0.964 5.119
9.187 5.290 4.614
4.049 -0.745 5.663
4.535 3.581 5.158
10.265 6.161 7.400
5.855 8.773 2.467
2.971 -1.616 2.877
8.882 -0.403 7.865
2.129 1.777 4.338
11.106 2.768 5.939
7.094 -1.818 4.839
5.871 1.157 3.764
7.380 -4.228 7.810
6.142 6.364 5.438
7.364 3.388 6.513
4.354 4.948 2.413
```


[8]
Here is an optimized crystal structure of ErSn3Rh2 from Alexandria via LeMat-Bulk. Energies are from PBE.

Crystal system: trigonal
Formation energy from the elements: -431 meV/atom

```
ErSn3Rh2
1.0
6.742 0.000 0.000
0.000 6.611 0.000
0.000 -3.306 5.726
Er Rh Sn
2 4 6
Cartesian
4.624 0.000 3.817
2.118 3.306 1.909
0.000 1.653 2.863
0.000 -1.653 2.863
0.000 0.000 0.000
0.000 3.306 0.000
4.791 4.934 0.968
1.951 0.000 1.936
1.951 1.629 4.757
4.791 3.306 3.789
1.951 -1.629 4.757
4.791 1.677 0.968
```


no.,total moment (μB per formula unit),energy (eV/atom)
1,0.000,-5.978
2,0.000,-6.472
3,0.000,-6.078
4,0.000,-5.957
5,0.000,-6.648
6,0.000,-6.529
7,0.000,-5.631
8,0.000,-5.643